Compound: Cs2CeAg3Cl12
Source: Alexandria
Functional: GGA-PBE
Structure: optimized geometry

The space group is R-3m (No. 166, hexagonal axes) and the conventional cell measures 8.8878, 8.8878 and 27.4447 Å, with angles of 90.00, 90.00 and 120.00 degrees. The inequivalent atoms are Cs at (0.0000, 0.0000, 0.1176), Ce at (0.0000, 0.0000, 0.5000), Ag at (0.0000, 0.5000, 0.0000), Cl at (0.0447, 0.5224, 0.1147) and Cl at (0.0607, 0.5304, 0.3574).

The total energy comes out at -3.295 eV per atom.

***

Compound: CsCeAg2Cl6
Source: Alexandria
Functional: GGA-PBE
Structure: optimized geometry

The space group is R-3 (No. 148, hexagonal axes) and the conventional cell measures 7.3471, 7.3471 and 23.8269 Å, with angles of 90.00, 90.00 and 120.00 degrees. The inequivalent atoms are Cs at (0.0000, 0.0000, 0.0000), Ce at (0.0000, 0.0000, 0.5000), Ag at (0.0000, 0.0000, 0.2198) and Cl at (0.0061, 0.3124, 0.4328).

The total energy comes out at -3.824 eV per atom.

***

Compound: Cs2CeAgCl6
Source: Alexandria
Functional: GGA-PBE
Structure: optimized geometry

The space group is P-3m1 (No. 164) and the conventional cell measures 7.6718, 7.6718 and 6.7349 Å, with angles of 90.00, 90.00 and 120.00 degrees. The inequivalent atoms are Cs at (0.3333, 0.6667, 0.2129), Ce at (0.0000, 0.0000, 0.5000), Ag at (0.0000, 0.0000, 0.0000) and Cl at (0.1664, 0.3327, 0.7454).

The total energy comes out at -3.963 eV per atom.

***

Compound: Cs2CeAgCl6
Source: Alexandria
Functional: GGA-PBE
Structure: optimized geometry

The space group is Fm-3m (No. 225) and the conventional cell measures 11.039, 11.039 and 11.039 Å, with angles of 90.00, 90.00 and 90.00 degrees. The inequivalent atoms are Cs at (0.250, 0.250, 0.250), Ce at (0.000, 0.000, 0.000), Ag at (0.000, 0.000, 0.500) and Cl at (0.000, 0.000, 0.249).

The total energy comes out at -3.964 eV per atom.

***

Compound: CeCuAg2Cl8
Source: Alexandria
Functional: GGA-PBE
Structure: optimized geometry

The space group is P-1 (No. 2) and the conventional cell measures 6.671, 6.763 and 7.766 Å, with angles of 86.30, 86.23 and 77.11 degrees. The inequivalent atoms are Ce at (0.000, 0.000, 0.000), Cu at (0.000, 0.000, 0.500), Ag at (0.462, 0.449, 0.735), Cl at (0.167, 0.126, 0.269), Cl at (0.252, 0.144, 0.782), Cl at (0.259, 0.640, 0.017) and Cl at (0.262, 0.696, 0.504).

The total energy comes out at -3.604 eV per atom.

***

Compound: CeCuAgCl6
Source: Alexandria
Functional: GGA-PBE
Structure: optimized geometry

The space group is P-31c (No. 163) and the conventional cell measures 6.5247, 6.5247 and 12.4342 Å, with angles of 90.00, 90.00 and 120.00 degrees. The inequivalent atoms are Ce at (0.3333, 0.6667, 0.2500), Cu at (0.3333, 0.6667, 0.7500), Ag at (0.0000, 0.0000, 0.0000) and Cl at (0.0170, 0.3534, 0.6303).

The total energy comes out at -3.924 eV per atom.

***

> Number 1 is which compound?

Cs2CeAg3Cl12

***

> Look up the total energy of the first one.

-3.295 eV per atom

***

> Number 6 is which compound?

CeCuAgCl6